First-principles (PBE) data for crystalline Zn3GaIr at its relaxed geometry, as listed in Alexandria.

a b c (Å): 6.700 6.700 6.700
angles (deg): 90.00 90.00 90.00
Fractional coordinates of all 20 atoms:
Zn 0.052 0.368 0.291
Zn 0.209 0.948 0.868
Zn 0.368 0.291 0.052
Zn 0.132 0.709 0.552
Zn 0.291 0.052 0.368
Zn 0.448 0.632 0.791
Zn 0.552 0.132 0.709
Zn 0.709 0.552 0.132
Zn 0.868 0.209 0.948
Zn 0.632 0.791 0.448
Zn 0.791 0.448 0.632
Zn 0.948 0.868 0.209
Ga 0.817 0.817 0.817
Ga 0.683 0.183 0.317
Ga 0.317 0.683 0.183
Ga 0.183 0.317 0.683
Ir 0.943 0.057 0.557
Ir 0.557 0.943 0.057
Ir 0.443 0.443 0.443
Ir 0.057 0.557 0.943

Computed properties:
Total moment   0.0 μB per formula unit
ΔE_f   -1.1 eV per formula unit
Total energy   -3.356 eV per atom
Crystal system   cubic